(1)
Density functional theory data (PBE) for a geometry-optimized PuUF6 structure.

a b c (Å): 5.603 5.603 8.258
angles (deg): 90.00 90.00 90.00
Sites, in units of the cell vectors:
Pu 0.000 0.000 0.000
Pu 0.000 0.000 0.500
U 0.500 0.500 0.250
U 0.500 0.500 0.750
F 0.190 0.259 0.180
F 0.190 0.259 0.820
F 0.259 0.810 0.320
F 0.259 0.810 0.680
F 0.304 0.341 0.500
F 0.341 0.696 0.000
F 0.659 0.304 0.000
F 0.696 0.659 0.500
F 0.741 0.190 0.320
F 0.741 0.190 0.680
F 0.810 0.741 0.180
F 0.810 0.741 0.820

total magnetic moment = 8.0 μB/f.u.
space group = P4_2/m (84)
uncorrected formation energy = -3.50 eV/atom
energy above the lowest structure with this stoichiometry = 0 meV per atom

=====

(2)
Density functional theory data (PBE) for a geometry-optimized TcB3I structure.

a b c (Å): 4.288 4.288 4.288
angles (deg): 90.00 90.00 90.00
Sites, in units of the cell vectors:
Tc 0.000 0.000 0.000
B 0.000 0.000 0.500
B 0.000 0.500 0.000
B 0.500 0.000 0.000
I 0.500 0.500 0.500

total magnetic moment = 0.0 μB/f.u.
space group = Pm-3m (221)
uncorrected formation energy = 1.53 eV/atom
energy above the lowest structure with this stoichiometry = 0 meV per atom

=====

(3)
Density functional theory data (PBE) for a geometry-optimized BeSe2SBr structure.

a b c (Å): 4.913 4.913 4.918
angles (deg): 90.00 90.00 90.00
Sites, in units of the cell vectors:
Be 0.000 0.000 0.000
Se 0.000 0.500 0.500
Se 0.500 0.000 0.500
S 0.500 0.500 0.500
Br 0.500 0.500 0.000

total magnetic moment = 0.0 μB/f.u.
space group = P4/mmm (123)
uncorrected formation energy = 0.89 eV/atom
energy above the lowest structure with this stoichiometry = 381 meV per atom

=====

(4)
Density functional theory data (PBE) for a geometry-optimized K5SnSb3 structure.

a b c (Å): 9.944 8.832 18.988
angles (deg): 90.00 121.40 90.00
Sites, in units of the cell vectors:
K 0.053 0.007 0.245
K 0.053 0.493 0.745
K 0.240 0.520 0.578
K 0.240 0.980 0.078
K 0.336 0.661 0.259
K 0.336 0.839 0.759
K 0.343 0.173 0.921
K 0.343 0.327 0.421
K 0.389 0.006 0.587
K 0.389 0.494 0.087
K 0.611 0.506 0.913
K 0.611 0.994 0.413
K 0.657 0.673 0.579
K 0.657 0.827 0.079
K 0.664 0.161 0.241
K 0.664 0.339 0.741
K 0.760 0.020 0.922
K 0.760 0.480 0.422
K 0.947 0.507 0.255
K 0.947 0.993 0.755
Sn 0.014 0.144 0.587
Sn 0.014 0.356 0.087
Sn 0.986 0.644 0.913
Sn 0.986 0.856 0.413
Sb 0.016 0.189 0.434
Sb 0.016 0.311 0.934
Sb 0.262 0.737 0.419
Sb 0.262 0.763 0.919
Sb 0.309 0.235 0.728
Sb 0.309 0.265 0.228
Sb 0.691 0.735 0.772
Sb 0.691 0.765 0.272
Sb 0.738 0.237 0.081
Sb 0.738 0.263 0.581
Sb 0.984 0.689 0.066
Sb 0.984 0.811 0.566

total magnetic moment = 0.0 μB/f.u.
space group = P2_1/c (14)
uncorrected formation energy = -0.43 eV/atom

=====

(5)
Density functional theory data (PBE) for a geometry-optimized Sm2Sn4Pd3Au structure.

a b c (Å): 4.548 4.548 10.999
angles (deg): 90.00 90.00 90.00
Sites, in units of the cell vectors:
Sm 0.000 0.500 0.240
Sm 0.500 0.000 0.760
Sn 0.000 0.000 0.500
Sn 0.000 0.500 0.864
Sn 0.500 0.000 0.136
Sn 0.500 0.500 0.500
Pd 0.000 0.000 0.000
Pd 0.000 0.500 0.630
Pd 0.500 0.000 0.370
Au 0.500 0.500 0.000

total magnetic moment = 0.0 μB/f.u.
space group = P-4m2 (115)
energy relative to the elements = -6.9 eV per formula unit

=====

(6)
Density functional theory data (PBE) for a geometry-optimized PrNi6Pt6 structure.

a b c (Å): 6.672 6.672 6.672
angles (deg): 136.13 98.70 97.34
Sites, in units of the cell vectors:
Pr 0.000 0.000 0.000
Ni 0.000 0.000 0.500
Ni 0.000 0.500 0.000
Ni 0.233 0.733 0.500
Ni 0.500 0.000 0.000
Ni 0.500 0.500 0.500
Ni 0.767 0.267 0.500
Pt 0.207 0.500 0.707
Pt 0.343 0.343 0.000
Pt 0.346 0.000 0.346
Pt 0.654 0.000 0.654
Pt 0.657 0.657 0.000
Pt 0.793 0.500 0.293

total magnetic moment = 5.3 μB/f.u.
space group = Immm (71)
energy relative to the elements = -3.7 eV per formula unit

=====

(7)
Density functional theory data (PBE) for a geometry-optimized Si2Ru2Pt structure.

a b c (Å): 7.031 7.031 2.826
angles (deg): 90.00 90.00 90.00
Sites, in units of the cell vectors:
Si 0.157 0.343 0.000
Si 0.343 0.843 0.000
Si 0.657 0.157 0.000
Si 0.843 0.657 0.000
Ru 0.141 0.641 0.500
Ru 0.359 0.141 0.500
Ru 0.641 0.859 0.500
Ru 0.859 0.359 0.500
Pt 0.000 0.000 0.500
Pt 0.500 0.500 0.500

total magnetic moment = 0.0 μB/f.u.
space group = P4/mbm (127)
uncorrected formation energy = -0.35 eV/atom
energy above the lowest structure with this stoichiometry = 132 meV per atom

=====

(8)
Density functional theory data (PBE) for a geometry-optimized Ti3Fe2Ru structure.

a b c (Å): 2.998 2.998 9.018
angles (deg): 90.00 90.00 90.00
Sites, in units of the cell vectors:
Ti 0.000 0.000 0.000
Ti 0.000 0.000 0.326
Ti 0.000 0.000 0.674
Fe 0.500 0.500 0.163
Fe 0.500 0.500 0.837
Ru 0.500 0.500 0.500

total magnetic moment = 0.0 μB/f.u.
space group = P4/mmm (123)
energy relative to the elements = -3.1 eV per formula unit

=====

(9)
Density functional theory data (PBE) for a geometry-optimized Zr5TlHg4 structure.

a b c (Å): 3.212 3.212 21.196
angles (deg): 90.00 90.00 90.00
Sites, in units of the cell vectors:
Zr 0.000 0.000 0.000
Zr 0.000 0.000 0.198
Zr 0.000 0.000 0.397
Zr 0.000 0.000 0.603
Zr 0.000 0.000 0.802
Tl 0.500 0.500 0.500
Hg 0.500 0.500 0.099
Hg 0.500 0.500 0.297
Hg 0.500 0.500 0.703
Hg 0.500 0.500 0.901

total magnetic moment = 0.0 μB/f.u.
space group = P4/mmm (123)
energy relative to the elements = -1.5 eV per formula unit

=====

(10)
Density functional theory data (PBE) for a geometry-optimized Rb2SbTe4As structure.

a b c (Å): 9.378 9.378 9.378
angles (deg): 120.96 119.03 90.02
Sites, in units of the cell vectors:
Rb 0.000 0.000 0.000
Rb 0.500 0.000 0.000
Rb 0.500 0.000 0.500
Rb 0.500 0.500 0.500
Sb 0.000 0.500 0.500
Sb 0.500 0.500 0.000
Te 0.190 0.736 0.454
Te 0.218 0.264 0.954
Te 0.226 0.254 0.529
Te 0.226 0.697 0.971
Te 0.774 0.303 0.029
Te 0.774 0.746 0.471
Te 0.782 0.736 0.046
Te 0.810 0.264 0.546
As 0.000 0.000 0.500
As 0.000 0.500 0.000

total magnetic moment = 0.0 μB/f.u.
space group = Imma (74)
uncorrected formation energy = -0.39 eV/atom

=====

(11)
Density functional theory data (PBE) for a geometry-optimized Mn2W structure.

a b c (Å): 4.719 4.719 15.484
angles (deg): 90.00 90.00 120.00
Sites, in units of the cell vectors:
Mn 0.000 0.500 0.000
Mn 0.000 0.500 0.500
Mn 0.160 0.321 0.250
Mn 0.160 0.840 0.250
Mn 0.321 0.160 0.750
Mn 0.333 0.667 0.128
Mn 0.333 0.667 0.372
Mn 0.500 0.000 0.000
Mn 0.500 0.000 0.500
Mn 0.500 0.500 0.000
Mn 0.500 0.500 0.500
Mn 0.667 0.333 0.628
Mn 0.667 0.333 0.872
Mn 0.679 0.840 0.250
Mn 0.840 0.160 0.750
Mn 0.840 0.679 0.750
W 0.000 0.000 0.092
W 0.000 0.000 0.408
W 0.000 0.000 0.592
W 0.000 0.000 0.908
W 0.333 0.667 0.656
W 0.333 0.667 0.844
W 0.667 0.333 0.156
W 0.667 0.333 0.344

total magnetic moment = 0.1 μB/f.u.
space group = P6_3/mmc (194)
energy relative to the elements = -0.2 eV per formula unit
energy above the lowest structure with this stoichiometry = 11 meV per atom

=====

(12)
Density functional theory data (PBE) for a geometry-optimized LiMo2Se structure.

a b c (Å): 6.140 6.140 3.601
angles (deg): 106.44 106.44 29.77
Sites, in units of the cell vectors:
Li 0.000 0.000 0.000
Mo 0.198 0.198 0.691
Mo 0.802 0.802 0.309
Se 0.500 0.500 0.500

total magnetic moment = 0.0 μB/f.u.
space group = C2/m (12)
uncorrected formation energy = 0.10 eV/atom

=====

(13)
Density functional theory data (PBE) for a geometry-optimized MgFe2S structure.

a b c (Å): 5.412 5.412 5.412
angles (deg): 102.74 102.74 123.98
Sites, in units of the cell vectors:
Mg 0.000 0.000 0.000
Mg 0.750 0.250 0.500
Fe 0.220 0.125 0.595
Fe 0.375 0.780 0.905
Fe 0.530 0.625 0.405
Fe 0.875 0.470 0.095
S 0.250 0.750 0.500
S 0.500 0.500 0.000

total magnetic moment = 2.2 μB/f.u.
space group = I-42d (122)
uncorrected formation energy = 0.16 eV/atom
energy above the lowest structure with this stoichiometry = 0 meV per atom

=====

(14)
Density functional theory data (PBE) for a geometry-optimized GdVTe2 structure.

a b c (Å): 9.587 9.587 9.587
angles (deg): 23.65 23.65 23.65
Sites, in units of the cell vectors:
Gd 0.000 0.000 0.000
V 0.500 0.500 0.500
Te 0.110 0.110 0.110
Te 0.890 0.890 0.890

total magnetic moment = 5.0 μB/f.u.
space group = R-3m (166)
uncorrected formation energy = -0.25 eV/atom

=====

(15)
Density functional theory data (PBE) for a geometry-optimized CoMoOs2 structure.

a b c (Å): 3.149 3.149 5.642
angles (deg): 90.00 90.00 90.00
Sites, in units of the cell vectors:
Co 0.000 0.000 0.000
Mo 0.500 0.500 0.242
Os 0.000 0.000 0.517
Os 0.500 0.500 0.805

total magnetic moment = 0.0 μB/f.u.
space group = P4mm (99)
energy relative to the elements = 1.3 eV per formula unit
energy above the lowest structure with this stoichiometry = 285 meV per atom

=====

(16)
Density functional theory data (PBE) for a geometry-optimized TiCu2N2 structure.

a b c (Å): 6.160 6.160 2.685
angles (deg): 90.00 90.00 90.00
Sites, in units of the cell vectors:
Ti 0.000 0.000 0.000
Ti 0.500 0.500 0.000
Cu 0.128 0.372 0.000
Cu 0.372 0.872 0.000
Cu 0.628 0.128 0.000
Cu 0.872 0.628 0.000
N 0.195 0.695 0.500
N 0.305 0.195 0.500
N 0.695 0.805 0.500
N 0.805 0.305 0.500

total magnetic moment = 0.0 μB/f.u.
space group = P4/mbm (127)
uncorrected formation energy = 0.79 eV/atom
energy above the lowest structure with this stoichiometry = 247 meV per atom

=====

(17)
Density functional theory data (PBE) for a geometry-optimized Mg6Ga3Hg structure.

a b c (Å): 8.236 4.943 10.696
angles (deg): 90.00 111.55 90.00
Sites, in units of the cell vectors:
Mg 0.036 0.250 0.426
Mg 0.158 0.750 0.169
Mg 0.241 0.250 0.005
Mg 0.340 0.750 0.786
Mg 0.348 0.250 0.329
Mg 0.415 0.250 0.624
Mg 0.585 0.750 0.376
Mg 0.652 0.750 0.671
Mg 0.660 0.250 0.214
Mg 0.759 0.750 0.995
Mg 0.842 0.250 0.831
Mg 0.964 0.750 0.574
Ga 0.032 0.750 0.866
Ga 0.107 0.250 0.713
Ga 0.273 0.750 0.475
Ga 0.727 0.250 0.525
Ga 0.893 0.750 0.287
Ga 0.968 0.250 0.134
Hg 0.457 0.750 0.090
Hg 0.543 0.250 0.910

total magnetic moment = 0.0 μB/f.u.
space group = P2_1/m (11)
energy relative to the elements = -1.3 eV per formula unit
energy above the lowest structure with this stoichiometry = 0 meV per atom

=====

(18)
Density functional theory data (PBE) for a geometry-optimized VW2C3 structure.

a b c (Å): 5.297 5.297 5.297
angles (deg): 146.47 131.85 59.95
Sites, in units of the cell vectors:
V 0.000 0.000 0.000
W 0.333 0.333 0.000
W 0.667 0.667 0.000
C 0.161 0.661 0.500
C 0.500 0.000 0.500
C 0.839 0.339 0.500

total magnetic moment = 0.0 μB/f.u.
space group = Immm (71)
energy relative to the elements = 0.2 eV per formula unit

=====

(19)
Density functional theory data (PBE) for a geometry-optimized Sm7Dy2Er2 structure.

a b c (Å): 6.915 6.915 8.164
angles (deg): 98.23 98.23 103.82
Sites, in units of the cell vectors:
Sm 0.000 0.000 0.000
Sm 0.090 0.517 0.828
Sm 0.198 0.198 0.486
Sm 0.483 0.910 0.172
Sm 0.517 0.090 0.828
Sm 0.802 0.802 0.514
Sm 0.910 0.483 0.172
Dy 0.414 0.414 0.178
Dy 0.586 0.586 0.822
Er 0.288 0.712 0.500
Er 0.712 0.288 0.500

total magnetic moment = 0.0 μB/f.u.
space group = C2/m (12)
energy relative to the elements = 1.5 eV per formula unit
energy above the lowest structure with this stoichiometry = 0 meV per atom

=====

(20)
Density functional theory data (PBE) for a geometry-optimized Sc3CdPd structure.

a b c (Å): 5.071 5.071 5.071
angles (deg): 90.00 90.00 90.00
Sites, in units of the cell vectors:
Sc 0.000 0.000 0.500
Sc 0.000 0.500 0.000
Sc 0.500 0.000 0.000
Cd 0.500 0.500 0.500
Pd 0.000 0.000 0.000

total magnetic moment = 0.0 μB/f.u.
space group = Pm-3m (221)
energy relative to the elements = -0.4 eV per formula unit
energy above the lowest structure with this stoichiometry = 0 meV per atom